1.
{"formula": "NaFePAu", "functional": "PBE-GGA", "state": "optimized geometry", "lattice_angstrom": [[-1.780, -3.243, 0.869], [2.293, -1.893, -2.366], [6.670, -1.589, 7.735]], "species": ["Na", "Na", "Fe", "Fe", "P", "P", "Au", "Au"], "fractional_positions": [[0.750, 0.750, 0.255], [0.250, 0.250, 0.745], [0.750, 0.250, 0.000], [0.250, 0.750, 0.000], [0.750, 0.750, 0.893], [0.250, 0.250, 0.107], [0.250, 0.750, 0.500], [0.750, 0.250, 0.500]], "spacegroup": "P4/nmm, No. 129", "formation_energy_ev_per_atom": -0.38}



2.
{"formula": "Na2FePbAu", "functional": "PBE-GGA", "state": "optimized geometry", "lattice_angstrom": [[5.291, 0.000, 0.000], [0.000, 4.873, 0.000], [0.000, 0.000, 5.291]], "species": ["Pb", "Na", "Na", "Au", "Fe"], "fractional_positions": [[0.500, 0.500, 0.500], [0.000, 0.000, 0.500], [0.500, 0.000, 0.000], [0.000, 0.500, 0.000], [0.000, 0.000, 0.000]], "spacegroup": "P4/mmm, No. 123", "formation_energy_ev_per_atom": 0.58}



Number 1: V 18.65 A^3/atom. Number 2: V 27.28 A^3/atom.